Record 1
Density functional theory data (PBE) for a geometry-optimized KRb2Hg12Au3 structure.

```
KRb2Hg12Au3
1.0
10.656 0.912 0.647
6.056 8.815 0.647
6.056 3.525 8.106
Hg Au Rb K
12 3 2 1
Cartesian
13.612 4.666 6.761
11.988 3.720 2.639
17.162 8.111 7.744
15.529 10.918 7.744
17.162 9.990 5.095
5.605 5.141 1.656
10.779 9.532 6.761
9.155 8.587 2.639
13.612 7.923 2.168
5.605 3.262 4.305
7.238 2.335 1.656
9.155 5.329 7.232
5.328 0.456 0.323
3.028 1.762 4.053
3.028 4.408 0.323
14.038 8.171 5.796
8.729 5.081 3.604
0.000 0.000 0.000
```

Summary:
- calculated formation energy (eV/atom) = -0.107

Record 2
Density functional theory data (PBE) for a geometry-optimized Ag5HgAu2 structure.

```
Ag5HgAu2
1.0
4.063 0.000 0.000
0.000 6.019 0.000
0.000 0.000 12.088
Hg Ag Au
2 10 4
Cartesian
0.000 3.009 0.000
0.000 0.000 6.044
0.000 0.002 3.013
0.000 0.000 0.000
2.031 1.531 4.503
2.031 4.541 1.541
0.000 6.017 9.074
0.000 3.011 3.031
0.000 3.008 9.057
0.000 3.009 6.044
2.031 1.478 10.547
2.031 4.488 7.585
2.031 1.533 7.579
2.031 1.476 1.535
2.031 4.542 10.552
2.031 4.486 4.509
```

Summary:
- calculated formation energy (eV/atom) = -0.006

Record 3
Density functional theory data (PBE) for a geometry-optimized HoAg2Pd8 structure.

```
HoAg2Pd8
1.0
4.069 0.000 0.000
0.000 6.384 0.356
-2.035 -2.314 6.888
Pd Ag Ho
8 2 1
Cartesian
0.000 1.554 5.843
2.035 4.958 2.841
0.000 0.536 1.949
2.035 -0.332 6.351
2.035 3.534 5.295
2.035 2.515 1.401
0.000 4.401 0.893
0.000 -0.888 4.403
2.035 1.047 3.879
0.000 3.022 3.365
2.035 0.000 0.000
```

Summary:
- calculated formation energy (eV/atom) = -0.333
- polymorph energy (0 for the lowest one) (eV/atom) = 0.000

Record 4
Density functional theory data (PBE) for a geometry-optimized In3Re structure.

```
In3Re
1.0
-1.351 0.793 2.691
-1.950 -4.618 0.381
4.233 -1.574 2.588
In Re
3 1
Cartesian
1.430 -0.387 2.633
1.861 -3.219 3.684
0.072 -0.027 0.044
0.389 -2.816 1.025
```

Summary:
- calculated formation energy (eV/atom) = 0.585
- polymorph energy (0 for the lowest one) (eV/atom) = 0.299

Record 5
Density functional theory data (PBE) for a geometry-optimized RbPuAg2Cl6 structure.

```
RbPuAg2Cl6
1.0
7.194 0.043 0.020
3.634 6.303 0.037
3.626 2.144 6.549
Cl Rb Pu Ag
6 1 1 2
Cartesian
9.633 4.259 1.576
8.639 2.746 4.958
6.015 2.187 1.527
7.798 6.257 4.976
5.225 3.725 4.960
6.056 6.298 1.544
10.837 6.374 3.962
3.605 2.115 0.186
3.621 2.143 6.520
7.232 4.235 2.903
```

Summary:
- uncorrected formation energy (meV per atom) = -1319

Record 6
Density functional theory data (PBE) for a geometry-optimized TbSmYEr structure.

```
TbSmYEr
1.0
5.050 0.000 0.000
0.000 5.048 0.000
-2.525 -2.524 5.032
Y Tb Er Sm
1 1 1 1
Cartesian
0.000 2.524 3.723
2.525 0.000 3.720
2.525 2.524 1.206
0.000 0.000 1.206
```

Summary:
- calculated formation energy (eV/atom) = 0.020
- polymorph energy (0 for the lowest one) (eV/atom) = 0.000

Record 7
Density functional theory data (PBE) for a geometry-optimized La2IN structure.

```
La2IN
1.0
-2.171 -1.469 -2.842
-3.448 -1.553 0.807
-5.290 6.041 -1.712
N La I
1 2 1
Cartesian
-3.749 -2.010 -1.358
-2.454 0.190 -0.854
-4.701 4.827 -1.534
-5.460 1.520 -1.876
```

Summary:
- uncorrected formation energy (meV per atom) = -1260

Record 8
Density functional theory data (PBE) for a geometry-optimized Ba3RuI structure.

```
Ba3RuI
1.0
-3.409 -4.283 2.491
3.454 -4.222 -2.533
3.553 -0.005 4.853
Ba Ru I
3 1 1
Cartesian
-1.704 -2.142 1.245
1.727 -2.111 -1.267
1.776 -0.003 2.426
0.000 0.000 0.000
1.799 -4.255 2.405
```

Summary:
- uncorrected formation energy (meV per atom) = -213
- polymorph energy (0 for the lowest one) (eV/atom) = 0.000

Record 9
Density functional theory data (PBE) for a geometry-optimized ZnGaPt3 structure.

```
ZnGaPt3
1.0
4.619 0.000 0.000
0.000 4.619 0.000
0.000 0.000 4.619
Pt Ga Zn
3 1 1
Cartesian
0.000 0.000 2.309
2.309 0.000 0.000
0.000 2.309 0.000
0.000 0.000 0.000
2.309 2.309 2.309
```

Summary:
- calculated formation energy (eV/atom) = 0.458
- polymorph energy (0 for the lowest one) (eV/atom) = 0.550

Record 10
Density functional theory data (PBE) for a geometry-optimized Dy5Er8In structure.

```
Dy5Er8In
1.0
7.909 0.000 -2.607
-4.000 6.721 -2.860
0.090 0.000 8.327
Dy Er In
5 8 1
Cartesian
3.771 4.618 1.814
3.333 6.003 -3.294
1.960 0.718 7.079
-1.064 2.103 0.122
4.000 0.000 2.860
-1.594 4.904 -1.939
7.029 0.650 2.792
1.650 1.817 1.978
4.808 1.723 0.190
3.726 2.642 4.782
-2.266 4.999 1.628
0.915 6.071 2.889
1.731 4.079 -0.880
0.045 3.361 4.164
```

Summary:
- calculated formation energy (eV/atom) = 0.186

Record 11
Density functional theory data (PBE) for a geometry-optimized BiPb2Au2 structure.

```
BiPb2Au2
1.0
-1.987 1.197 7.502
-7.217 -2.718 -1.478
1.294 -3.966 0.975
Au Pb Bi
4 4 2
Cartesian
-7.021 -1.923 1.494
-6.272 -0.668 5.601
-2.932 -0.853 0.422
-2.184 0.402 4.529
-3.379 -1.886 6.223
-1.239 -2.052 2.707
-4.532 -3.601 0.776
-6.671 -3.435 4.292
0.000 0.000 0.000
-4.602 -0.761 3.012
```

Summary:
- calculated formation energy (eV/atom) = -0.063
- polymorph energy (0 for the lowest one) (eV/atom) = 0.000

Record 12
Density functional theory data (PBE) for a geometry-optimized TcNi2Pt structure.

```
TcNi2Pt
1.0
-1.567 3.967 1.351
-3.575 2.684 0.171
-1.675 -1.250 4.211
Ni Pt Tc
2 1 1
Cartesian
-3.383 2.730 2.791
-5.167 6.620 1.599
-5.113 4.050 4.300
-1.704 1.350 1.433
```

Summary:
- calculated formation energy (eV/atom) = -0.047
- polymorph energy (0 for the lowest one) (eV/atom) = 0.034